A plane-wave DFT calculation with PBEsol was carried out for a relaxed structure of MoPb3Cl2O5.

Results
Space group: Cmcm, No. 63
Fermi-level density of states: 0.00 states/eV/atom
Magnetic moment: 0.0 μB/cell
Electronic total energy: -70.82 eV/f.u.
Energy relative to the elements, uncorrected: -16.79 eV per formula unit

Lattice parameters (Å, degrees): 5.575 7.053 10.991 90.00 90.00 113.28
Atoms (fractional coordinates):
Mo 0.234 0.469 0.250
Mo 0.766 0.531 0.750
Pb 0.350 0.699 0.968
Pb 0.650 0.301 0.468
Pb 0.350 0.699 0.532
Pb 0.101 0.201 0.750
Pb 0.650 0.301 0.032
Pb 0.899 0.799 0.250
Cl 0.478 0.956 0.250
Cl 0.000 0.000 0.000
Cl 0.522 0.044 0.750
Cl 0.000 0.000 0.500
O 0.505 0.542 0.130
O 0.963 0.458 0.870
O 0.495 0.458 0.630
O 0.495 0.458 0.870
O 0.896 0.792 0.750
O 0.963 0.458 0.630
O 0.505 0.542 0.370
O 0.037 0.542 0.130
O 0.104 0.208 0.250
O 0.037 0.542 0.370


A plane-wave DFT calculation with PBEsol was carried out for a relaxed structure of MnCuCl2.

Results
Space group: P4/mmm, No. 123
Fermi-level density of states: 0.16 states/eV/atom
Energy above the most stable polymorph in this dataset: 227.1 meV/atom
Magnetic moment: 4.1 μB/cell
Electronic total energy: -17.96 eV/f.u.
Energy relative to the elements, uncorrected: 0.15 eV per formula unit

Lattice parameters (Å, degrees): 3.142 3.142 6.147 90.00 90.00 90.00
Atoms (fractional coordinates):
Mn 0.500 0.500 0.500
Cu 0.500 0.500 0.000
Cl 0.000 0.000 0.744
Cl 0.000 0.000 0.256


A plane-wave DFT calculation with PBEsol was carried out for a relaxed structure of K2LaPb.

Results
Space group: P4/mmm, No. 123
Fermi-level density of states: 1.36 states/eV/atom
Magnetic moment: 0.0 μB/cell
Electronic total energy: -10.60 eV/f.u.
Energy of formation: 24 kJ/mol of atoms

Lattice parameters (Å, degrees): 3.465 3.465 13.014 90.00 90.00 90.00
Atoms (fractional coordinates):
K 0.000 0.000 0.716
K 0.000 0.000 0.284
La 0.500 0.500 0.000
Pb 0.500 0.500 0.500


A plane-wave DFT calculation with PBEsol was carried out for a relaxed structure of CsFe2PSe.

Results
Space group: P4/mmm, No. 123
Fermi-level density of states: 1.04 states/eV/atom
Magnetic moment: 5.4 μB/cell
Electronic total energy: -16.15 eV/f.u.
Energy relative to the elements, uncorrected: 12.36 eV per formula unit

Lattice parameters (Å, degrees): 4.695 4.695 5.961 90.00 90.00 90.00
Atoms (fractional coordinates):
Cs 0.000 0.000 0.000
P 0.500 0.500 0.500
Fe 0.000 0.500 0.000
Fe 0.500 0.000 0.000
Se 0.000 0.000 0.500


A plane-wave DFT calculation with PBEsol was carried out for a relaxed structure of LiV3O8.

Results
Space group: P-3m1, No. 164
Energy above the most stable polymorph in this dataset: 90.1 meV/atom
Magnetic moment: 0.0 μB/cell
Electronic total energy: -99.51 eV/f.u.
Energy relative to the elements, uncorrected: -26.65 eV per formula unit

Lattice parameters (Å, degrees): 5.475 5.475 5.538 90.00 90.00 120.00
Atoms (fractional coordinates):
Li 0.000 0.000 0.000
V 0.667 0.333 0.208
V 0.333 0.667 0.792
V 0.000 0.000 0.500
O 0.844 0.688 0.300
O 0.688 0.844 0.700
O 0.667 0.333 0.918
O 0.333 0.667 0.082
O 0.156 0.844 0.700
O 0.844 0.156 0.300
O 0.312 0.156 0.300
O 0.156 0.312 0.700


A plane-wave DFT calculation with PBEsol was carried out for a relaxed structure of RbAuI2N.

Results
Space group: P4/mmm, No. 123
Fermi-level density of states: 0.75 states/eV/atom
Energy above the most stable polymorph in this dataset: 1238.4 meV/atom
Magnetic moment: 3.0 μB/cell
Electronic total energy: -10.25 eV/f.u.
Energy relative to the elements, uncorrected: 6.76 eV per formula unit

Lattice parameters (Å, degrees): 5.231 6.553 6.553 90.00 90.00 90.00
Atoms (fractional coordinates):
I 0.000 0.000 0.500
I 0.000 0.500 0.000
Au 0.500 0.500 0.500
Rb 0.000 0.000 0.000
N 0.500 0.000 0.000


A plane-wave DFT calculation with PBEsol was carried out for a relaxed structure of MoIBr2.

Results
Space group: R-3m, No. 166
Fermi-level density of states: 1.23 states/eV/atom
Magnetic moment: 0.0 μB/cell
Electronic total energy: -15.77 eV/f.u.
Energy relative to the elements, uncorrected: 1.51 eV per formula unit

Lattice parameters (Å, degrees): 3.203 3.203 12.264 82.50 82.50 60.00
Atoms (fractional coordinates):
I 0.500 0.500 0.500
Mo 0.000 0.000 0.000
Br 0.935 0.935 0.195
Br 0.065 0.065 0.805


A plane-wave DFT calculation with PBEsol was carried out for a relaxed structure of InCu2Pt.

Results
Space group: P4/mmm, No. 123
Fermi-level density of states: 0.40 states/eV/atom
Magnetic moment: 0.0 μB/cell
Electronic total energy: -19.42 eV/f.u.
Energy of formation: -19 kJ/mol of atoms

Lattice parameters (Å, degrees): 3.775 3.903 3.903 90.00 90.00 90.00
Atoms (fractional coordinates):
Pt 0.500 0.000 0.000
Cu 0.000 0.000 0.500
Cu 0.000 0.500 0.000
In 0.500 0.500 0.500


Question: What is the electronic total energy in the third record?
Answer: -10.60 eV/f.u.